No. 1
Pm3RuICl (GGA-PBE, optimized geometry); ΔE_f (raw) = -931 meV/atom; E = -65.02 eV for the cell shown; symmetry = No. 11
1.0
9.269 0.000 0.000
0.000 4.202 0.000
-1.089 0.000 9.695
Pm Ru I Cl
6 2 2 2
Direct
0.110 0.250 0.324 Pm
0.150 0.250 0.906 Pm
0.279 0.750 0.620 Pm
0.721 0.250 0.380 Pm
0.850 0.750 0.094 Pm
0.890 0.750 0.676 Pm
0.073 0.250 0.618 Ru
0.927 0.750 0.382 Ru
0.411 0.750 0.322 I
0.589 0.250 0.678 I
0.353 0.750 0.914 Cl
0.647 0.250 0.086 Cl

=====

No. 2
PaRuRh (GGA-PBE, optimized geometry); ΔH_f (0 K) = -304 meV per atom; E = -27.04 eV for the cell shown; offset from the most stable computed form = 1.06 eV per formula unit; symmetry = No. 187
1.0
4.316 0.000 0.000
-2.158 3.738 0.000
0.000 0.000 3.618
Pa Ru Rh
1 1 1
Direct
0.000 0.000 0.000 Pa
0.667 0.333 0.500 Ru
0.333 0.667 0.500 Rh

=====

No. 3
SrYS2O (GGA-PBE, optimized geometry); ΔE_f (raw) = 652 meV/atom; E = -18.10 eV for the cell shown; symmetry = No. 123
1.0
5.108 0.000 0.000
0.000 5.108 0.000
0.000 0.000 7.102
Sr Y S O
1 1 2 1
Direct
0.000 0.000 0.000 Sr
0.000 0.000 0.500 Y
0.000 0.500 0.000 S
0.500 0.000 0.000 S
0.500 0.500 0.500 O

=====

No. 4
CsGa3F (GGA-PBE, optimized geometry); ΔE_f (raw) = 812 meV/atom; E = -7.75 eV for the cell shown; offset from the most stable computed form = 5.29 eV per formula unit; symmetry = No. 221
1.0
6.571 0.000 0.000
0.000 6.571 0.000
0.000 0.000 6.571
Cs Ga F
1 3 1
Direct
0.000 0.000 0.000 Cs
0.000 0.000 0.500 Ga
0.000 0.500 0.000 Ga
0.500 0.000 0.000 Ga
0.500 0.500 0.500 F

=====

No. 5
Th2UTc3 (GGA-PBE, optimized geometry); ΔH_f (0 K) = -61 meV per atom; E = -57.59 eV for the cell shown; symmetry = No. 8
1.0
5.022 -2.309 0.000
5.022 2.309 0.000
-4.624 0.000 5.628
Th U Tc
2 1 3
Direct
0.000 0.000 0.000 Th
0.132 0.132 0.657 Th
0.692 0.692 0.349 U
0.380 0.380 0.622 Tc
0.426 0.426 0.279 Tc
0.743 0.743 0.067 Tc

=====

No. 6
MnFeGe (GGA-PBE, optimized geometry); ΔH_f (0 K) = 392 meV per atom; E = -42.14 eV for the cell shown; symmetry = No. 6
1.0
2.726 0.000 0.000
0.000 2.635 0.000
-0.001 0.000 11.833
Mn Fe Ge
2 2 2
Direct
0.000 0.000 0.000 Mn
0.000 0.500 0.330 Mn
0.499 0.500 0.502 Fe
0.501 0.000 0.828 Fe
0.000 0.500 0.679 Ge
0.500 0.000 0.181 Ge

=====

No. 7
Tb6IrAu5 (GGA-PBE, optimized geometry); ΔH_f (0 K) = -843 meV per atom; E = -63.15 eV for the cell shown; symmetry = No. 71
1.0
-2.529 3.615 7.579
2.529 -3.615 7.579
2.529 3.615 -7.579
Tb Ir Au
6 1 5
Direct
0.082 0.339 0.743 Tb
0.238 0.000 0.238 Tb
0.404 0.661 0.743 Tb
0.596 0.339 0.257 Tb
0.762 0.000 0.762 Tb
0.918 0.661 0.257 Tb
0.000 0.500 0.500 Ir
0.176 0.176 0.000 Au
0.336 0.836 0.500 Au
0.500 0.500 0.000 Au
0.664 0.164 0.500 Au
0.824 0.824 0.000 Au

=====

No. 8
Tb6Te3Se2 (GGA-PBE, optimized geometry); ΔE_f (raw) = -1330 meV/atom; E = -58.81 eV for the cell shown; symmetry = No. 166
1.0
2.074 1.197 21.050
-2.074 1.197 21.050
0.000 -2.394 21.050
Tb Te Se
6 3 2
Direct
0.093 0.093 0.093 Tb
0.189 0.189 0.189 Tb
0.363 0.363 0.363 Tb
0.637 0.637 0.637 Tb
0.811 0.811 0.811 Tb
0.907 0.907 0.907 Tb
0.000 0.000 0.000 Te
0.272 0.272 0.272 Te
0.728 0.728 0.728 Te
0.451 0.451 0.451 Se
0.549 0.549 0.549 Se